# CuRuAuO2 PBE relaxed
# **Magnetization**: 0.00 Bohr magnetons per cell
# **V**: 15.51 Å³ per atom
# **Formation energy without anion corrections**: -15 kJ/mol of atoms
# **Space group**: P4/mmm, No. 123
# **Density of states at the Fermi level**: 0.50 states/eV/atom
data_CuRuAuO2
_space_group_name_H-M_alt 'P 1'
_space_group_IT_number 1
_cell_length_a 3.6946
_cell_length_b 3.6946
_cell_length_c 5.6808
_cell_angle_alpha 90.00
_cell_angle_beta 90.00
_cell_angle_gamma 90.00
loop_
_space_group_symop_operation_xyz
'x,y,z'
loop_
_atom_site_label
_atom_site_type_symbol
_atom_site_fract_x
_atom_site_fract_y
_atom_site_fract_z
Cu1 Cu 0.0000 0.0000 0.0000
Ru1 Ru 0.0000 0.0000 0.5000
Au1 Au 0.5000 0.5000 0.0000
O1 O 0.0000 0.5000 0.5000
O2 O 0.5000 0.0000 0.5000